Density functional theory data (PBE) for a geometry-optimized Ho4Ge2SeS structure.

a = 4.0713 Å, b = 7.0743 Å, c = 7.0453 Å
α = 70.64°, β = 90.00°, γ = 90.00°
Last column: nearest neighbours and their distance in Å.
Positions (direct):
Ho 0.0000 0.7590 0.7427  3 Ge 2.84-2.87, 1 S 2.89, 2 Se 2.93
Ho 0.0000 0.2410 0.2573  3 Ge 2.84-2.87, 1 S 2.89, 2 Se 2.93
Ho 0.5000 0.7559 0.2518  3 Ge 2.84-2.87, 2 S 2.89, 1 Se 2.92
Ho 0.5000 0.2441 0.7482  3 Ge 2.84-2.87, 2 S 2.89, 1 Se 2.92
Ge 0.0000 0.0000 0.0000  6 Ho 2.87
Ge 0.5000 0.0000 0.5000  6 Ho 2.84
Se 0.5000 0.5000 0.0000  6 Ho 2.92-2.93
S 0.0000 0.5000 0.5000  6 Ho 2.89

* space group: P2/m, No. 10
* final energy: -5.80 eV per atom
* DOS(E_F): 2.3 states/eV per cell

=====

Density functional theory data (PBE) for a geometry-optimized K2CdCo structure.

a = 5.6050 Å, b = 5.6050 Å, c = 4.4834 Å
α = 90.04°, β = 90.04°, γ = 90.26°
Last column: nearest neighbours and their distance in Å.
Positions (direct):
Cd 0.5000 0.0000 0.5000  8 K 3.59, 4 Co 3.95-3.97
Co 0.0000 0.5000 0.5000  8 K 3.59, 4 Cd 3.95-3.97
K 0.0000 0.0000 0.0000  4 Co 3.59, 4 Cd 3.59, 4 K 3.95-3.97
K 0.5000 0.5000 0.0000  4 Cd 3.59, 4 Co 3.59, 4 K 3.95-3.97

* space group: Cmmm, No. 65
* final energy: -1.85 eV per atom
* DOS(E_F): 2.3 states/eV per cell
* formation energy from the elements: 0.71 eV per atom

=====

Density functional theory data (PBE) for a geometry-optimized NdLuCo2 structure.

a = 3.3657 Å, b = 3.3657 Å, c = 6.7378 Å
α = 90.00°, β = 90.00°, γ = 90.00°
Last column: nearest neighbours and their distance in Å.
Positions (direct):
Co 0.0000 0.0000 0.7682  4 Lu 2.85, 4 Nd 2.99, 1 Co 3.12
Co 0.0000 0.0000 0.2318  4 Lu 2.85, 4 Nd 2.99, 1 Co 3.12
Lu 0.5000 0.5000 0.0000  8 Co 2.85
Nd 0.5000 0.5000 0.5000  8 Co 2.99

* space group: P4/mmm, No. 123
* distance to the lowest polymorph of the same formula: 0 meV per atom
* final energy: -5.96 eV per atom
* DOS(E_F): 2.9 states/eV per cell
* formation energy from the elements: -0.08 eV per atom

=====

Density functional theory data (PBE) for a geometry-optimized AgGeTe2 structure.

a = 4.6806 Å, b = 4.6806 Å, c = 7.0217 Å
α = 90.00°, β = 90.00°, γ = 120.00°
Last column: nearest neighbours and their distance in Å.
Positions (direct):
Ag 0.6667 0.3333 0.4744  4 Te 2.77-2.89
Ge 0.0000 0.0000 0.0057  4 Te 2.66-2.83
Te 0.6667 0.3333 0.8853  3 Ge 2.83, 1 Ag 2.89
Te 0.0000 0.0000 0.3846  1 Ge 2.66, 3 Ag 2.77

* space group: P3m1, No. 156
* final energy: -3.43 eV per atom
* DOS(E_F): 2.9 states/eV per cell